--- one ---
Density functional theory data (PBE) for a relaxed structure of La7TbPr4.

As for the density of states at the Fermi level: 20.48 states/eV per cell.

Cell: 9.059 9.059 9.872 Å, 120.36 120.36 39.78°
Atoms (fractional coordinates):
La1 0.000 0.000 0.000
La2 0.228 0.228 0.682
La3 0.314 0.314 0.104
La4 0.425 0.425 0.577
La5 0.575 0.575 0.423
La6 0.686 0.686 0.896
La7 0.772 0.772 0.318
Tb1 0.500 0.500 0.000
Pr1 0.042 0.042 0.719
Pr2 0.188 0.188 0.320
Pr3 0.812 0.812 0.680
Pr4 0.958 0.958 0.281

=====

--- two ---
Density functional theory data (PBE) for a relaxed structure of La7TbPr4.

As for the density of states at the Fermi level: 19.87 states/eV per cell.

Cell: 6.487 7.462 9.294 Å, 89.95 76.51 89.86°
Atoms (fractional coordinates):
La1 0.000 0.000 0.000
La2 0.219 0.502 0.331
La3 0.280 0.251 0.669
La4 0.500 0.253 0.000
La5 0.500 0.747 0.000
La6 0.720 0.749 0.331
La7 0.781 0.498 0.669
Tb1 0.000 0.500 0.000
Pr1 0.224 0.000 0.331
Pr2 0.277 0.748 0.672
Pr3 0.723 0.252 0.328
Pr4 0.776 0.000 0.669

=====

Quick one: most stable of them? two

=====

--- one ---
Density functional theory data (PBE) for a relaxed structure of La6TbPr12.

As for the density of states at the Fermi level: 29.91 states/eV per cell.

Cell: 8.861 8.861 8.861 Å, 89.65 89.65 89.65°
Atoms (fractional coordinates):
La1 0.201 0.595 0.765
La2 0.235 0.799 0.405
La3 0.405 0.235 0.799
La4 0.595 0.765 0.201
La5 0.765 0.201 0.595
La6 0.799 0.405 0.235
Tb1 0.500 0.500 0.500
Pr1 0.032 0.282 0.936
Pr2 0.064 0.968 0.718
Pr3 0.138 0.316 0.479
Pr4 0.282 0.936 0.032
Pr5 0.316 0.479 0.138
Pr6 0.479 0.138 0.316
Pr7 0.521 0.862 0.684
Pr8 0.684 0.521 0.862
Pr9 0.718 0.064 0.968
Pr10 0.862 0.684 0.521
Pr11 0.936 0.032 0.282
Pr12 0.968 0.718 0.064

=====

--- two ---
Density functional theory data (PBE) for a relaxed structure of La6TbPr12.

As for the density of states at the Fermi level: 37.51 states/eV per cell.

Cell: 9.063 9.063 9.063 Å, 99.87 99.87 99.87°
Atoms (fractional coordinates):
La1 0.160 0.591 0.591
La2 0.409 0.409 0.840
La3 0.409 0.840 0.409
La4 0.591 0.160 0.591
La5 0.591 0.591 0.160
La6 0.840 0.409 0.409
Tb1 0.500 0.500 0.500
Pr1 0.000 0.256 0.744
Pr2 0.000 0.744 0.256
Pr3 0.147 0.147 0.417
Pr4 0.147 0.417 0.147
Pr5 0.256 0.000 0.744
Pr6 0.256 0.744 0.000
Pr7 0.417 0.147 0.147
Pr8 0.583 0.853 0.853
Pr9 0.744 0.000 0.256
Pr10 0.744 0.256 0.000
Pr11 0.853 0.583 0.853
Pr12 0.853 0.853 0.583

=====

Quick one: most stable of them? one

=====

--- one ---
Density functional theory data (PBE) for a relaxed structure of LaTb12Pr6.

As for the density of states at the Fermi level: 31.64 states/eV per cell.

Cell: 8.763 8.763 8.763 Å, 79.59 79.59 79.59°
Atoms (fractional coordinates):
La1 0.000 0.000 0.000
Tb1 0.137 0.137 0.481
Tb2 0.137 0.481 0.137
Tb3 0.197 0.516 0.516
Tb4 0.481 0.137 0.137
Tb5 0.484 0.484 0.803
Tb6 0.484 0.803 0.484
Tb7 0.516 0.197 0.516
Tb8 0.516 0.516 0.197
Tb9 0.519 0.863 0.863
Tb10 0.803 0.484 0.484
Tb11 0.863 0.519 0.863
Tb12 0.863 0.863 0.519
Pr1 0.164 0.771 0.771
Pr2 0.229 0.229 0.836
Pr3 0.229 0.836 0.229
Pr4 0.771 0.164 0.771
Pr5 0.771 0.771 0.164
Pr6 0.836 0.229 0.229

=====

--- two ---
Density functional theory data (PBE) for a relaxed structure of LaTb12Pr6.

As for the density of states at the Fermi level: 30.53 states/eV per cell.

Cell: 8.838 8.838 8.838 Å, 98.81 98.81 98.81°
Atoms (fractional coordinates):
La1 0.000 0.000 0.000
Tb1 0.081 0.357 0.357
Tb2 0.243 0.500 0.757
Tb3 0.243 0.757 0.500
Tb4 0.357 0.081 0.357
Tb5 0.357 0.357 0.081
Tb6 0.500 0.243 0.757
Tb7 0.500 0.757 0.243
Tb8 0.643 0.643 0.919
Tb9 0.643 0.919 0.643
Tb10 0.757 0.243 0.500
Tb11 0.757 0.500 0.243
Tb12 0.919 0.643 0.643
Pr1 0.099 0.099 0.655
Pr2 0.099 0.655 0.099
Pr3 0.345 0.901 0.901
Pr4 0.655 0.099 0.099
Pr5 0.901 0.345 0.901
Pr6 0.901 0.901 0.345

=====

Quick one: most stable of them? one

=====

--- one ---
Density functional theory data (PBE) for a relaxed structure of La12Tb5Pr2.

As for the density of states at the Fermi level: 28.97 states/eV per cell.

Cell: 8.908 8.908 9.601 Å, 109.53 109.53 83.23°
Atoms (fractional coordinates):
La1 0.064 0.550 0.698
La2 0.074 0.074 0.279
La3 0.112 0.673 0.079
La4 0.327 0.888 0.921
La5 0.382 0.382 0.555
La6 0.450 0.936 0.302
La7 0.550 0.064 0.698
La8 0.618 0.618 0.445
La9 0.673 0.112 0.079
La10 0.888 0.327 0.921
La11 0.926 0.926 0.721
La12 0.936 0.450 0.302
Tb1 0.190 0.190 0.733
Tb2 0.306 0.306 0.161
Tb3 0.500 0.500 0.000
Tb4 0.694 0.694 0.839
Tb5 0.810 0.810 0.267
Pr1 0.228 0.772 0.500
Pr2 0.772 0.228 0.500

=====

--- two ---
Density functional theory data (PBE) for a relaxed structure of La12Tb5Pr2.

As for the density of states at the Fermi level: 27.07 states/eV per cell.

Cell: 10.940 10.940 6.330 Å, 100.20 100.20 65.84°
Atoms (fractional coordinates):
La1 0.043 0.564 0.800
La2 0.056 0.056 0.271
La3 0.144 0.644 0.380
La4 0.356 0.856 0.620
La5 0.383 0.383 0.996
La6 0.436 0.957 0.200
La7 0.564 0.043 0.800
La8 0.617 0.617 0.004
La9 0.644 0.144 0.380
La10 0.856 0.356 0.620
La11 0.944 0.944 0.729
La12 0.957 0.436 0.200
Tb1 0.182 0.182 0.858
Tb2 0.285 0.285 0.444
Tb3 0.500 0.500 0.500
Tb4 0.715 0.715 0.556
Tb5 0.818 0.818 0.142
Pr1 0.267 0.733 0.000
Pr2 0.733 0.267 0.000

=====

Quick one: most stable of them? two

=====

--- one ---
Density functional theory data (PBE) for a relaxed structure of La2Tb3Pr.

As for the density of states at the Fermi level: 12.50 states/eV per cell.

Cell: 8.074 8.074 8.074 Å, 155.58 101.25 83.93°
Atoms (fractional coordinates):
La1 0.167 0.000 0.167
La2 0.833 0.000 0.833
Tb1 0.248 0.248 0.000
Tb2 0.583 0.249 0.334
Tb3 0.916 0.249 0.666
Pr1 0.499 0.999 0.500

=====

--- two ---
Density functional theory data (PBE) for a relaxed structure of La2Tb3Pr.

As for the density of states at the Fermi level: 22.54 states/eV per cell.

Cell: 9.161 9.161 9.161 Å, 99.70 94.79 138.42°
Atoms (fractional coordinates):
La1 0.146 0.243 0.389
La2 0.354 0.743 0.098
La3 0.646 0.257 0.902
La4 0.854 0.757 0.611
Tb1 0.009 0.750 0.259
Tb2 0.250 0.250 0.000
Tb3 0.491 0.750 0.741
Tb4 0.509 0.250 0.259
Tb5 0.750 0.750 0.000
Tb6 0.991 0.250 0.741
Pr1 0.000 0.500 0.500
Pr2 0.500 0.000 0.500

=====

Quick one: most stable of them? one

=====

--- one ---
Density functional theory data (PBE) for a relaxed structure of La4Tb5Pr.

As for the density of states at the Fermi level: 16.22 states/eV per cell.

Cell: 3.692 3.692 25.277 Å, 90.00 90.00 90.00°
Atoms (fractional coordinates):
La1 0.000 0.000 0.100
La2 0.000 0.000 0.300
La3 0.000 0.000 0.700
La4 0.000 0.000 0.900
Tb1 0.500 0.500 0.000
Tb2 0.500 0.500 0.200
Tb3 0.500 0.500 0.401
Tb4 0.500 0.500 0.599
Tb5 0.500 0.500 0.800
Pr1 0.000 0.000 0.500

=====

--- two ---
Density functional theory data (PBE) for a relaxed structure of La4Tb5Pr.

As for the density of states at the Fermi level: 15.47 states/eV per cell.

Cell: 8.860 8.860 11.528 Å, 90.30 90.30 23.30°
Atoms (fractional coordinates):
La1 0.033 0.033 0.248
La2 0.340 0.340 0.250
La3 0.660 0.660 0.750
La4 0.967 0.967 0.752
Tb1 0.173 0.173 0.048
Tb2 0.174 0.174 0.447
Tb3 0.500 0.500 0.000
Tb4 0.826 0.826 0.553
Tb5 0.827 0.827 0.952
Pr1 0.500 0.500 0.500

=====

Quick one: most stable of them? one

=====

--- one ---
Density functional theory data (PBE) for a relaxed structure of LaTb7Pr12.

As for the density of states at the Fermi level: 29.36 states/eV per cell.

Cell: 10.336 10.336 10.336 Å, 113.06 113.06 113.06°
Atoms (fractional coordinates):
La1 0.000 0.000 0.000
Tb1 0.166 0.166 0.497
Tb2 0.166 0.497 0.166
Tb3 0.497 0.166 0.166
Tb4 0.500 0.500 0.500
Tb5 0.503 0.834 0.834
Tb6 0.834 0.503 0.834
Tb7 0.834 0.834 0.503
Pr1 0.000 0.286 0.714
Pr2 0.000 0.714 0.286
Pr3 0.071 0.412 0.412
Pr4 0.286 0.000 0.714
Pr5 0.286 0.714 0.000
Pr6 0.412 0.071 0.412
Pr7 0.412 0.412 0.071
Pr8 0.588 0.588 0.929
Pr9 0.588 0.929 0.588
Pr10 0.714 0.000 0.286
Pr11 0.714 0.286 0.000
Pr12 0.929 0.588 0.588

=====

--- two ---
Density functional theory data (PBE) for a relaxed structure of LaTb7Pr12.

As for the density of states at the Fermi level: 28.90 states/eV per cell.

Cell: 11.628 11.628 11.628 Å, 116.82 116.82 116.82°
Atoms (fractional coordinates):
La1 0.000 0.000 0.000
Tb1 0.125 0.126 0.372
Tb2 0.126 0.372 0.125
Tb3 0.372 0.125 0.126
Tb4 0.500 0.500 0.500
Tb5 0.628 0.875 0.874
Tb6 0.874 0.628 0.875
Tb7 0.875 0.874 0.628
Pr1 0.067 0.423 0.422
Pr2 0.088 0.911 0.499
Pr3 0.089 0.501 0.912
Pr4 0.422 0.067 0.423
Pr5 0.423 0.422 0.067
Pr6 0.499 0.088 0.911
Pr7 0.501 0.912 0.089
Pr8 0.577 0.578 0.933
Pr9 0.578 0.933 0.577
Pr10 0.911 0.499 0.088
Pr11 0.912 0.089 0.501
Pr12 0.933 0.577 0.578

=====

Quick one: most stable of them? one

=====

--- one ---
Density functional theory data (PBE) for a relaxed structure of La5TbPr4.

As for the density of states at the Fermi level: 34.36 states/eV per cell.

Cell: 6.640 9.622 11.509 Å, 90.00 90.00 90.00°
Atoms (fractional coordinates):
La1 0.016 0.082 0.149
La2 0.016 0.418 0.149
La3 0.250 0.750 0.365
La4 0.484 0.082 0.149
La5 0.484 0.418 0.149
La6 0.516 0.582 0.851
La7 0.516 0.918 0.851
La8 0.750 0.250 0.635
La9 0.984 0.582 0.851
La10 0.984 0.918 0.851
Tb1 0.250 0.250 0.408
Tb2 0.750 0.750 0.592
Pr1 0.011 0.250 0.884
Pr2 0.250 0.530 0.596
Pr3 0.250 0.970 0.596
Pr4 0.489 0.250 0.884
Pr5 0.511 0.750 0.116
Pr6 0.750 0.030 0.404
Pr7 0.750 0.470 0.404
Pr8 0.989 0.750 0.116

=====

--- two ---
Density functional theory data (PBE) for a relaxed structure of La5TbPr4.

As for the density of states at the Fermi level: 15.80 states/eV per cell.

Cell: 6.670 6.925 8.558 Å, 78.29 71.00 86.75°
Atoms (fractional coordinates):
La1 0.000 0.000 0.000
La2 0.105 0.767 0.445
La3 0.343 0.365 0.698
La4 0.657 0.635 0.302
La5 0.895 0.233 0.555
Tb1 0.500 0.000 0.000
Pr1 0.210 0.477 0.108
Pr2 0.468 0.834 0.678
Pr3 0.532 0.166 0.322
Pr4 0.790 0.523 0.892

=====

Quick one: most stable of them? two